Record 1
Entry from Alexandria: crystalline ScBe2Hg2 at its relaxed geometry (PBE-GGA).

Values from the calculation:
Formation energy (eV/atom): 0.091
Excess energy over the best structure of this formula in the dataset (kJ per mole of atoms): 0.0

a = 4.0185 Å, b = 4.0185 Å, c = 10.7735 Å
α = 90.00°, β = 90.00°, γ = 90.00°
Closest atoms and distances in Å follow each position.
Space group I4/mmm (No. 139)
One atom of each set of equivalent atoms:
Sc  0.0000  0.0000  0.0000 x2  8 Hg 3.16, 8 Be 3.36
Be  0.0000  0.5000  0.2500 x4  4 Hg 2.40
Hg  0.0000  0.0000  0.3718 x4  4 Be 2.40

Record 2
Entry from Alexandria: crystalline Tb2YZn8 at its relaxed geometry (PBE-GGA).

Values from the calculation:
Formation energy (eV/atom): -0.321

a = 4.8046 Å, b = 5.9418 Å, c = 14.7801 Å
α = 90.00°, β = 90.00°, γ = 90.00°
Closest atoms and distances in Å follow each position.
Space group Immm (No. 71)
One atom of each set of equivalent atoms:
Tb  0.0000  0.0000  0.1925 x4  12 Zn 2.90-3.09
Y  0.0000  0.5000  0.0000 x2  6 Zn 2.92-3.20
Zn  0.0000  0.2262  0.3781 x8  5 Zn 2.69-2.97
Zn  0.0000  0.5000  0.1974 x4  4 Tb 2.90-2.97, 1 Y 2.92, 6 Zn 2.97-3.13
Zn  0.2503  0.0000  0.0000 x4  2 Zn 2.40